This record from Alexandria describes a crystal of LaCr2SbW relaxed with PBEsol. The functional is meta-GGA SCAN.

Calculated values
**Volume**: 22.712 Å³/atom
**M_tot**: 2.9 μB per cell
**E_form (uncorrected)**: 55.178 kcal/mol of atoms

Lattice parameters (Å, degrees): 4.452 4.452 5.730 90.00 90.00 90.00
Space group P4/mmm (No. 123)
Symmetry-distinct sites (fractional):
La 0.000 0.000 0.000
Cr 0.000 0.500 0.000
Sb 0.000 0.000 0.500
W 0.500 0.500 0.500